VASP calculation (PBE) on a geometry-optimized MgAsPd6 structure.

Structure (POSCAR):
```
MgAsPd6
1.0
3.953 0.000 0.000
0.000 3.953 0.000
0.000 0.000 7.946
Pd Mg As
6 1 1
direct
0.500 0.500 0.500
0.500 0.500 0.000
0.500 0.000 0.746
0.000 0.500 0.254
0.500 0.000 0.254
0.000 0.500 0.746
0.000 0.000 0.000
0.000 0.000 0.500
```

## Properties
* ΔE to the lowest computed polymorph: 0 meV per atom
* raw total energy: -0.3708 Ry per atom
* formation energy: -0.3703 eV/atom
* space-group type: P4/mmm, No. 123